# 1
Compound: AcSm2Dy6
Source: Alexandria
Functional: PBE
Structure: relaxed

abc: 10.8504 17.6985 6.2737
angles: 90.00 94.73 90.00
Space group C2/c (No. 15)
One atom of each set of equivalent atoms:
1 Ac 0.0000 0.2502 0.2500 (multiplicity 4)
2 Sm 0.2499 0.0958 0.4997 (multiplicity 8)
3 Dy 0.0907 0.0757 0.9912 (multiplicity 8)
4 Dy 0.0909 0.4243 0.9913 (multiplicity 8)
5 Dy 0.1591 0.2498 0.7735 (multiplicity 8)

Calculated values
Magnetic moment, μB/atom: 0.00
Distance to the lowest polymorph of the same formula, meV per atom: 41
ΔE_f, eV/atom: 0.12

# 2
Compound: YNbBi2
Source: Alexandria
Functional: PBE
Structure: relaxed

abc: 6.5632 6.5632 14.5303
angles: 90.00 90.00 90.00
Space group I-42d (No. 122)
One atom of each set of equivalent atoms:
1 Y 0.0000 0.0000 0.0000 (multiplicity 4)
2 Nb 0.0000 0.0000 0.5000 (multiplicity 4)
3 Bi 0.2137 0.2500 0.6250 (multiplicity 8)

Calculated values
Magnetic moment, μB/atom: 0.50
Distance to the lowest polymorph of the same formula, meV per atom: 526
ΔE_f, eV/atom: 0.42

# 3
Compound: Hf3HN
Source: Alexandria
Functional: PBE
Structure: relaxed

abc: 5.6206 5.6251 6.0818
angles: 62.52 62.50 60.06
Space group P-1 (No. 2)
One atom of each set of equivalent atoms:
1 Hf 0.0696 0.2632 0.2524 (multiplicity 2)
2 Hf 0.2381 0.0854 0.7480 (multiplicity 2)
3 Hf 0.4142 0.5703 0.2523 (multiplicity 2)
4 H 0.3338 0.8337 0.4988 (multiplicity 2)
5 N 0.1657 0.6656 0.0033 (multiplicity 2)

Calculated values
Magnetic moment, μB/atom: 0.00
Distance to the lowest polymorph of the same formula, meV per atom: 0

# 4
Compound: SiHAu2Cl
Source: Alexandria
Functional: PBE
Structure: relaxed

abc: 3.9151 3.9151 5.7552
angles: 90.00 90.00 90.00
Space group P4/mmm (No. 123)
One atom of each set of equivalent atoms:
1 Si 0.0000 0.0000 0.0000 (multiplicity 1)
2 H 0.0000 0.0000 0.5000 (multiplicity 1)
3 Au 0.0000 0.5000 0.5000 (multiplicity 2)
4 Cl 0.5000 0.5000 0.0000 (multiplicity 1)

Calculated values
Magnetic moment, μB/atom: 0.00
Raw total energy, eV per atom: -3.02

Number 1: volume 33.35 Å³ per atom. Number 2: volume 39.12 Å³ per atom. Number 3: volume 14.10 Å³ per atom. Number 4: volume 17.64 Å³ per atom.